1.
Entry from Alexandria via LeMat-Bulk: an optimized crystal structure of PrVIr (GGA-PBE).

Values from the calculation:
Energy relative to the elements in eV per formula unit: -0.8
ρ in g/cm³: 9.42
Energy above the most stable polymorph in this dataset in meV per atom: 65
Fermi-level density of states in states/eV per cell: 3.7
Volume in Å³/cell: 67.7
Calculated total energy in eV per atom: -7.847

a = 4.5870 Å, b = 4.1291 Å, c = 4.1291 Å
α = 120.00°, β = 90.00°, γ = 90.00°
Atoms (fractional coordinates):
Ir: 0.1434 0.0000 0.0000
Pr: 0.6723 0.3333 0.6667
V: 0.1843 0.6667 0.3333


2.
Entry from Alexandria via LeMat-Bulk: an optimized crystal structure of Li2TlInRh (GGA-PBE).

Values from the calculation:
Energy relative to the elements in eV per formula unit: 2.0
ρ in g/cm³: 6.27
Fermi-level density of states in states/eV per cell: 3.4
Volume in Å³/cell: 115.5
Calculated total energy in eV per atom: -2.855

a = 4.7715 Å, b = 5.0748 Å, c = 4.7715 Å
α = 90.00°, β = 90.00°, γ = 90.00°
Atoms (fractional coordinates):
Rh: 0.0000 0.5000 0.0000
Li: 0.5000 0.0000 0.0000
In: 0.5000 0.5000 0.5000
Li: 0.0000 0.0000 0.5000
Tl: 0.0000 0.0000 0.0000


3.
Entry from Alexandria via LeMat-Bulk: an optimized crystal structure of Er4AlGe (GGA-PBE).

Values from the calculation:
Energy relative to the elements in eV per formula unit: -1.7
ρ in g/cm³: 7.57
Fermi-level density of states in states/eV per cell: 12.8
Volume in Å³/cell: 337.3
Calculated total energy in eV per atom: -4.712

a = 6.9570 Å, b = 6.9570 Å, c = 8.5325 Å
α = 114.07°, β = 114.07°, γ = 89.99°
Atoms (fractional coordinates):
Al: 0.6250 0.3750 0.7501
Er: 0.5002 0.7511 0.0002
Er: 0.7509 0.5000 0.5000
Al: 0.3750 0.6250 0.2499
Er: 0.4998 0.2489 0.9998
Er: 0.2491 0.5000 0.5000
Er: 0.2491 0.9999 0.5000
Ge: 0.1250 0.8749 0.7499
Er: 0.0000 0.7510 0.9998
Ge: 0.8750 0.1251 0.2501
Er: 0.0000 0.2490 0.0002
Er: 0.7509 0.0001 0.5000


4.
Entry from Alexandria via LeMat-Bulk: an optimized crystal structure of RbVInSn2 (GGA-PBE).

Values from the calculation:
Energy relative to the elements in eV per formula unit: 0.1
ρ in g/cm³: 5.49
Fermi-level density of states in states/eV per cell: 2.6
Volume in Å³/cell: 147.7
Calculated total energy in eV per atom: -4.155

a = 5.2414 Å, b = 5.2414 Å, c = 5.3765 Å
α = 90.00°, β = 90.00°, γ = 90.00°
Atoms (fractional coordinates):
Sn: 0.5000 0.0000 0.0000
Sn: 0.0000 0.5000 0.0000
Rb: 0.5000 0.5000 0.5000
In: 0.0000 0.0000 0.5000
V: 0.0000 0.0000 0.0000


5.
Entry from Alexandria via LeMat-Bulk: an optimized crystal structure of SnH3F (GGA-PBE).

Values from the calculation:
ρ in g/cm³: 4.60
Energy above the most stable polymorph in this dataset in meV per atom: 0
Fermi-level density of states in states/eV per cell: 1.6
Volume in Å³/cell: 50.8
Calculated total energy in eV per atom: -3.260

a = 3.7026 Å, b = 3.7026 Å, c = 3.7026 Å
α = 90.00°, β = 90.00°, γ = 90.00°
Atoms (fractional coordinates):
H: 0.0000 0.0000 0.5000
F: 0.5000 0.5000 0.5000
H: 0.5000 0.0000 0.0000
H: 0.0000 0.5000 0.0000
Sn: 0.0000 0.0000 0.0000


6.
Entry from Alexandria via LeMat-Bulk: an optimized crystal structure of K4O3F4 (GGA-PBE).

Values from the calculation:
Formation energy (no corrections) in eV per atom: -1.787
ρ in g/cm³: 2.15
Volume in Å³/cell: 216.7
Calculated total energy in eV per atom: -4.218

a = 5.0611 Å, b = 4.6116 Å, c = 10.4526 Å
α = 90.00°, β = 90.00°, γ = 117.34°
Atoms (fractional coordinates):
F: 0.0259 0.0304 0.7472
O: 0.2905 0.6644 0.8932
K: 0.0266 0.0312 0.0000
K: 0.0326 0.0333 0.5000
F: 0.0259 0.0304 0.2528
O: 0.2905 0.6644 0.1068
K: 0.6714 0.3523 0.2506
K: 0.6714 0.3523 0.7494
F: 0.6831 0.3569 0.5000
O: 0.4406 0.7405 0.0000
F: 0.6401 0.3406 0.0000


7.
Entry from Alexandria via LeMat-Bulk: an optimized crystal structure of RbPb4Au4 (GGA-PBE).

Values from the calculation:
Energy relative to the elements in eV per formula unit: -1.4
ρ in g/cm³: 10.68
Energy above the most stable polymorph in this dataset in meV per atom: 0
Fermi-level density of states in states/eV per cell: 9.0
Volume in Å³/cell: 529.5
Calculated total energy in eV per atom: -3.365

a = 7.3187 Å, b = 7.3187 Å, c = 9.8844 Å
α = 90.00°, β = 90.00°, γ = 90.00°
Atoms (fractional coordinates):
Pb: 0.5000 0.7520 0.1373
Pb: 0.5000 0.2480 0.1373
Au: 0.8083 0.5000 0.1569
Pb: 0.7520 0.5000 0.8627
Pb: 0.2480 0.5000 0.8627
Au: 0.0000 0.3083 0.6569
Au: 0.5000 0.8083 0.8431
Au: 0.6917 0.0000 0.3431
Au: 0.3083 0.0000 0.3431
Pb: 0.7480 0.0000 0.6373
Pb: 0.0000 0.7480 0.3627
Pb: 0.2520 0.0000 0.6373
Au: 0.0000 0.6917 0.6569
Au: 0.1917 0.5000 0.1569
Pb: 0.0000 0.2520 0.3627
Rb: 0.5000 0.5000 0.5000
Au: 0.5000 0.1917 0.8431
Rb: 0.0000 0.0000 0.0000


8.
Entry from Alexandria via LeMat-Bulk: an optimized crystal structure of Ac3TlCu2O9 (GGA-PBE).

Values from the calculation:
Formation energy (no corrections) in eV per atom: -1.897
ρ in g/cm³: 9.37
Fermi-level density of states in states/eV per cell: 3.6
Volume in Å³/cell: 204.8
Calculated total energy in eV per atom: -6.397

a = 5.6852 Å, b = 5.6852 Å, c = 7.3179 Å
α = 90.00°, β = 90.00°, γ = 120.00°
Atoms (fractional coordinates):
O: 0.5000 0.5000 0.0000
Ac: 0.3333 0.6667 0.7096
O: 0.0000 0.5000 0.0000
Cu: 0.6667 0.3333 0.8408
O: 0.1686 0.8314 0.3047
Ac: 0.0000 0.0000 0.0000
O: 0.8314 0.6627 0.6953
Ac: 0.6667 0.3333 0.2904
O: 0.6627 0.8314 0.3047
Tl: 0.0000 0.0000 0.5000
O: 0.5000 0.0000 0.0000
Cu: 0.3333 0.6667 0.1592
O: 0.3373 0.1686 0.6953
O: 0.8314 0.1686 0.6953
O: 0.1686 0.3373 0.3047